P:
# Sb3TeP PBE-GGA relaxed
data_Sb3TeP
_space_group_name_H-M_alt 'P 1'
_space_group_IT_number 1
_cell_length_a 5.251
_cell_length_b 5.251
_cell_length_c 5.251
_cell_angle_alpha 90.00
_cell_angle_beta 90.00
_cell_angle_gamma 90.00
loop_
_space_group_symop_operation_xyz
'x,y,z'
loop_
_atom_site_label
_atom_site_type_symbol
_atom_site_fract_x
_atom_site_fract_y
_atom_site_fract_z
_atom_site_occupancy
Sb1 Sb 0.000 0.000 0.500 1
Sb2 Sb 0.000 0.500 0.000 1
Sb3 Sb 0.500 0.000 0.000 1
Te1 Te 0.500 0.500 0.500 1
P1 P 0.000 0.000 0.000 1
# ρ: 6.007 Mg/m³

---

Q:
# Sb3TeP PBE-GGA relaxed
data_Sb3TeP
_space_group_name_H-M_alt 'P 1'
_space_group_IT_number 1
_cell_length_a 5.671
_cell_length_b 5.671
_cell_length_c 5.671
_cell_angle_alpha 90.00
_cell_angle_beta 90.00
_cell_angle_gamma 90.00
loop_
_space_group_symop_operation_xyz
'x,y,z'
loop_
_atom_site_label
_atom_site_type_symbol
_atom_site_fract_x
_atom_site_fract_y
_atom_site_fract_z
_atom_site_occupancy
Sb1 Sb 0.000 0.000 0.500 1
Sb2 Sb 0.000 0.500 0.000 1
Sb3 Sb 0.500 0.000 0.000 1
Te1 Te 0.000 0.000 0.000 1
P1 P 0.500 0.500 0.500 1
# ρ: 4.769 Mg/m³

---

The structure with the least stability is Q.

---

P:
# TiSbTe2P PBE-GGA relaxed
data_TiSbTe2P
_space_group_name_H-M_alt 'P 1'
_space_group_IT_number 1
_cell_length_a 5.218
_cell_length_b 5.218
_cell_length_c 4.993
_cell_angle_alpha 90.00
_cell_angle_beta 90.00
_cell_angle_gamma 90.00
loop_
_space_group_symop_operation_xyz
'x,y,z'
loop_
_atom_site_label
_atom_site_type_symbol
_atom_site_fract_x
_atom_site_fract_y
_atom_site_fract_z
_atom_site_occupancy
Ti1 Ti 0.000 0.000 0.000 1
Sb1 Sb 0.500 0.500 0.000 1
Te1 Te 0.000 0.500 0.500 1
Te2 Te 0.500 0.000 0.500 1
P1 P 0.500 0.500 0.500 1
# ρ: 5.567 Mg/m³

---

Q:
# TiSbTe2P PBE-GGA relaxed
data_TiSbTe2P
_space_group_name_H-M_alt 'P 1'
_space_group_IT_number 1
_cell_length_a 5.217
_cell_length_b 5.217
_cell_length_c 5.369
_cell_angle_alpha 90.00
_cell_angle_beta 90.00
_cell_angle_gamma 90.00
loop_
_space_group_symop_operation_xyz
'x,y,z'
loop_
_atom_site_label
_atom_site_type_symbol
_atom_site_fract_x
_atom_site_fract_y
_atom_site_fract_z
_atom_site_occupancy
Ti1 Ti 0.000 0.000 0.000 1
Sb1 Sb 0.000 0.000 0.500 1
Te1 Te 0.000 0.500 0.000 1
Te2 Te 0.500 0.000 0.000 1
P1 P 0.500 0.500 0.500 1
# ρ: 5.180 Mg/m³

---

The structure with the least stability is P.

---

P:
# TlSbTe2P PBE-GGA relaxed
data_TlSbTe2P
_space_group_name_H-M_alt 'P 1'
_space_group_IT_number 1
_cell_length_a 5.722
_cell_length_b 5.722
_cell_length_c 5.848
_cell_angle_alpha 90.00
_cell_angle_beta 90.00
_cell_angle_gamma 90.00
loop_
_space_group_symop_operation_xyz
'x,y,z'
loop_
_atom_site_label
_atom_site_type_symbol
_atom_site_fract_x
_atom_site_fract_y
_atom_site_fract_z
_atom_site_occupancy
Tl1 Tl 0.000 0.000 0.000 1
Sb1 Sb 0.000 0.000 0.500 1
Te1 Te 0.000 0.500 0.000 1
Te2 Te 0.500 0.000 0.000 1
P1 P 0.500 0.500 0.500 1
# ρ: 5.310 Mg/m³

---

Q:
# TlSbTe2P PBE-GGA relaxed
data_TlSbTe2P
_space_group_name_H-M_alt 'P 1'
_space_group_IT_number 1
_cell_length_a 5.507
_cell_length_b 5.507
_cell_length_c 5.110
_cell_angle_alpha 90.00
_cell_angle_beta 90.00
_cell_angle_gamma 90.00
loop_
_space_group_symop_operation_xyz
'x,y,z'
loop_
_atom_site_label
_atom_site_type_symbol
_atom_site_fract_x
_atom_site_fract_y
_atom_site_fract_z
_atom_site_occupancy
Tl1 Tl 0.000 0.000 0.000 1
Sb1 Sb 0.500 0.500 0.000 1
Te1 Te 0.000 0.500 0.500 1
Te2 Te 0.500 0.000 0.500 1
P1 P 0.500 0.500 0.500 1
# ρ: 6.561 Mg/m³

---

The structure with the least stability is P.

---

P:
# TlSb2TeP PBE-GGA relaxed
data_TlSb2TeP
_space_group_name_H-M_alt 'P 1'
_space_group_IT_number 1
_cell_length_a 5.729
_cell_length_b 5.729
_cell_length_c 5.679
_cell_angle_alpha 90.00
_cell_angle_beta 90.00
_cell_angle_gamma 90.00
loop_
_space_group_symop_operation_xyz
'x,y,z'
loop_
_atom_site_label
_atom_site_type_symbol
_atom_site_fract_x
_atom_site_fract_y
_atom_site_fract_z
_atom_site_occupancy
Tl1 Tl 0.000 0.000 0.000 1
Sb1 Sb 0.000 0.500 0.000 1
Sb2 Sb 0.500 0.000 0.000 1
Te1 Te 0.000 0.000 0.500 1
P1 P 0.500 0.500 0.500 1
# ρ: 5.402 Mg/m³

---

Q:
# TlSb2TeP PBE-GGA relaxed
data_TlSb2TeP
_space_group_name_H-M_alt 'P 1'
_space_group_IT_number 1
_cell_length_a 5.259
_cell_length_b 5.259
_cell_length_c 5.512
_cell_angle_alpha 90.00
_cell_angle_beta 90.00
_cell_angle_gamma 90.00
loop_
_space_group_symop_operation_xyz
'x,y,z'
loop_
_atom_site_label
_atom_site_type_symbol
_atom_site_fract_x
_atom_site_fract_y
_atom_site_fract_z
_atom_site_occupancy
Tl1 Tl 0.000 0.000 0.000 1
Sb1 Sb 0.000 0.500 0.500 1
Sb2 Sb 0.500 0.000 0.500 1
Te1 Te 0.500 0.500 0.000 1
P1 P 0.500 0.500 0.500 1
# ρ: 6.606 Mg/m³

---

The structure with the least stability is P.

---

P:
# VSb2TeP PBE-GGA relaxed
data_VSb2TeP
_space_group_name_H-M_alt 'P 1'
_space_group_IT_number 1
_cell_length_a 5.130
_cell_length_b 5.130
_cell_length_c 4.979
_cell_angle_alpha 90.00
_cell_angle_beta 90.00
_cell_angle_gamma 90.00
loop_
_space_group_symop_operation_xyz
'x,y,z'
loop_
_atom_site_label
_atom_site_type_symbol
_atom_site_fract_x
_atom_site_fract_y
_atom_site_fract_z
_atom_site_occupancy
V1 V 0.000 0.000 0.000 1
Sb1 Sb 0.000 0.500 0.000 1
Sb2 Sb 0.500 0.000 0.000 1
Te1 Te 0.000 0.000 0.500 1
P1 P 0.500 0.500 0.500 1
# ρ: 5.741 Mg/m³

---

Q:
# VSb2TeP PBE-GGA relaxed
data_VSb2TeP
_space_group_name_H-M_alt 'P 1'
_space_group_IT_number 1
_cell_length_a 5.041
_cell_length_b 5.041
_cell_length_c 5.232
_cell_angle_alpha 90.00
_cell_angle_beta 90.00
_cell_angle_gamma 90.00
loop_
_space_group_symop_operation_xyz
'x,y,z'
loop_
_atom_site_label
_atom_site_type_symbol
_atom_site_fract_x
_atom_site_fract_y
_atom_site_fract_z
_atom_site_occupancy
V1 V 0.000 0.000 0.000 1
Sb1 Sb 0.000 0.500 0.500 1
Sb2 Sb 0.500 0.000 0.500 1
Te1 Te 0.500 0.500 0.000 1
P1 P 0.500 0.500 0.500 1
# ρ: 5.659 Mg/m³

---

The structure with the least stability is Q.